Here is RbPdBr3 at its PBEsol-relaxed geometry from the Alexandria database. Energies are from SCAN.

Unit cell a=5.1535 b=5.1535 c=5.1535 alpha=90.00 beta=90.00 gamma=90.00
Fractional positions:
1 Rb 0.0000 0.0000 0.0000
2 Pd 0.5000 0.5000 0.5000
3 Br 0.0000 0.5000 0.5000
4 Br 0.5000 0.0000 0.5000
5 Br 0.5000 0.5000 0.0000

Calculated values
ΔE_f (raw)	-1.03	eV per atom
space-group type	No. 221
density of states at the Fermi level	1.1	states/eV/cell
total magnetization	0.000	μB per atom
E	-23.41	eV per atom

Here is Tl2MoAs at its PBEsol-relaxed geometry from the Alexandria database. Energies are from SCAN.

Unit cell a=3.1827 b=3.1829 c=8.5276 alpha=90.00 beta=90.04 gamma=90.00
Fractional positions:
1 Tl 0.0000 0.0000 0.0000
2 Tl 0.4949 0.5000 0.3264
3 Mo 0.5003 0.5000 0.7541
4 As 0.9999 0.0000 0.6133

Calculated values
space-group type	No. 6
density of states at the Fermi level	2.4	states/eV/cell
total magnetization	0.128	μB per atom
formation energy from the elements	189	meV per atom
E	-49.76	eV per atom

Here is RePBr at its PBEsol-relaxed geometry from the Alexandria database. Energies are from SCAN.

Unit cell a=4.1786 b=4.1786 c=4.1786 alpha=60.00 beta=60.00 gamma=60.00
Fractional positions:
1 Re 0.0000 0.0000 0.0000
2 P 0.2500 0.2500 0.2500
3 Br 0.5000 0.5000 0.5000

Calculated values
ΔE_f (raw)	1.58	eV per atom
space-group type	No. 216
density of states at the Fermi level	1.9	states/eV/cell
total magnetization	0.000	μB per atom
E	-32.07	eV per atom

Here is LaCr2BiS at its PBEsol-relaxed geometry from the Alexandria database. Energies are from SCAN.

Unit cell a=4.6535 b=4.6535 c=6.2127 alpha=90.00 beta=90.00 gamma=90.00
Fractional positions:
1 La 0.0000 0.0000 0.0000
2 Cr 0.0000 0.5000 0.0000
3 Cr 0.5000 0.0000 0.0000
4 Bi 0.0000 0.0000 0.5000
5 S 0.5000 0.5000 0.5000

Calculated values
ΔE_f (raw)	1.68	eV per atom
space-group type	No. 123
density of states at the Fermi level	3.4	states/eV/cell
total magnetization	1.389	μB per atom
E	-31.93	eV per atom

Here is AgPtCl2 at its PBEsol-relaxed geometry from the Alexandria database. Energies are from SCAN.

Unit cell a=3.4321 b=3.4321 c=7.8160 alpha=90.00 beta=90.00 gamma=123.51
Fractional positions:
1 Ag 0.0000 0.0000 0.0000
2 Pt 0.0000 0.0000 0.5000
3 Cl 0.5000 0.5000 0.2774
4 Cl 0.5000 0.5000 0.7226

Calculated values
ΔE_f (raw)	0.10	eV per atom
space-group type	No. 65
density of states at the Fermi level	1.5	states/eV/cell
ΔE to the lowest computed polymorph	107	meV per atom
total magnetization	0.000	μB per atom
E	-29.28	eV per atom

Here is NiAs2Pd at its PBEsol-relaxed geometry from the Alexandria database. Energies are from SCAN.

Unit cell a=6.4133 b=6.4133 c=6.4133 alpha=129.19 beta=129.19 gamma=74.70
Fractional positions:
1 Ni 0.0000 0.0000 0.0000
2 Ni 0.7500 0.2500 0.5000
3 As 0.0988 0.6250 0.9738
4 As 0.3750 0.3488 0.4738
5 As 0.6512 0.1250 0.0262
6 As 0.8750 0.9012 0.5262
7 Pd 0.2500 0.7500 0.5000
8 Pd 0.5000 0.5000 0.0000

Calculated values
space-group type	No. 122
density of states at the Fermi level	5.8	states/eV/cell
total magnetization	0.000	μB per atom
formation energy from the elements	-52	meV per atom
E	-22.38	eV per atom

Here is SbWSe2Br at its PBEsol-relaxed geometry from the Alexandria database. Energies are from SCAN.

Unit cell a=4.8902 b=4.8902 c=4.9746 alpha=90.00 beta=90.00 gamma=90.00
Fractional positions:
1 Sb 0.0000 0.0000 0.0000
2 W 0.5000 0.5000 0.5000
3 Se 0.0000 0.5000 0.5000
4 Se 0.5000 0.0000 0.5000
5 Br 0.5000 0.5000 0.0000

Calculated values
ΔE_f (raw)	0.52	eV per atom
space-group type	No. 123
density of states at the Fermi level	4.3	states/eV/cell
total magnetization	0.281	μB per atom
E	-32.79	eV per atom

Here is BaIn at its PBEsol-relaxed geometry from the Alexandria database. Energies are from SCAN.

Unit cell a=6.3341 b=6.3341 c=6.3341 alpha=131.89 beta=131.89 gamma=70.41
Fractional positions:
1 Ba 0.3750 0.6250 0.7500
2 Ba 0.6250 0.3750 0.2500
3 In 0.1250 0.8750 0.2500
4 In 0.8750 0.1250 0.7500

Calculated values
space-group type	No. 141
density of states at the Fermi level	3.5	states/eV/cell
total magnetization	0.000	μB per atom
formation energy from the elements	-370	meV per atom
E	-36.84	eV per atom

Here is K2LaPb at its PBEsol-relaxed geometry from the Alexandria database. Energies are from SCAN.

Unit cell a=5.8713 b=5.8713 c=5.8713 alpha=120.07 beta=120.07 gamma=89.88
Fractional positions:
1 K 0.0000 0.0000 0.0000
2 K 0.7500 0.2500 0.5000
3 La 0.2500 0.7500 0.5000
4 Pb 0.5000 0.5000 0.0000

Calculated values
space-group type	No. 119
density of states at the Fermi level	3.3	states/eV/cell
total magnetization	0.001	μB per atom
formation energy from the elements	-91	meV per atom
E	-33.98	eV per atom

Here is KReRhI2 at its PBEsol-relaxed geometry from the Alexandria database. Energies are from SCAN.

Unit cell a=5.2540 b=5.2540 c=5.5990 alpha=90.00 beta=90.00 gamma=90.00
Fractional positions:
1 K 0.0000 0.0000 0.0000
2 Re 0.5000 0.5000 0.0000
3 Rh 0.0000 0.0000 0.5000
4 I 0.0000 0.5000 0.5000
5 I 0.5000 0.0000 0.5000

Calculated values
ΔE_f (raw)	1.26	eV per atom
space-group type	No. 123
density of states at the Fermi level	2.8	states/eV/cell
total magnetization	1.151	μB per atom
E	-36.07	eV per atom

Here is RbBaSn2N at its PBEsol-relaxed geometry from the Alexandria database. Energies are from SCAN.

Unit cell a=5.0016 b=5.0016 c=5.5063 alpha=90.00 beta=90.00 gamma=90.00
Fractional positions:
1 Rb 0.0000 0.0000 0.0000
2 Ba 0.5000 0.5000 0.0000
3 Sn 0.0000 0.5000 0.5000
4 Sn 0.5000 0.0000 0.5000
5 N 0.5000 0.5000 0.5000

Calculated values
ΔE_f (raw)	0.16	eV per atom
space-group type	No. 123
density of states at the Fermi level	3.3	states/eV/cell
total magnetization	0.200	μB per atom
E	-28.12	eV per atom

Here is KCaHg2 at its PBEsol-relaxed geometry from the Alexandria database. Energies are from SCAN.

Unit cell a=3.8703 b=3.8703 c=8.0288 alpha=90.00 beta=90.00 gamma=90.00
Fractional positions:
1 K 0.0000 0.0000 0.0000
2 Ca 0.0000 0.0000 0.5000
3 Hg 0.5000 0.5000 0.2995
4 Hg 0.5000 0.5000 0.7005

Calculated values
space-group type	No. 123
density of states at the Fermi level	3.3	states/eV/cell
ΔE to the lowest computed polymorph	0	meV per atom
total magnetization	0.000	μB per atom
formation energy from the elements	-456	meV per atom
E	-39.04	eV per atom